Entry 1:
A plane-wave DFT calculation with PBE was carried out for an optimized crystal structure of HoSc2Al9.

Unit cell a=4.1528 b=4.1528 c=12.4378 alpha=90.00 beta=90.00 gamma=90.00
Last column: nearest neighbours and their distance in Å.
Sites, in units of the cell vectors:
Ho  0.0000  0.0000  0.0000  12 Al 2.94-2.99
Sc  0.0000  0.0000  0.3365  12 Al 2.90-2.94
Sc  0.0000  0.0000  0.6635  12 Al 2.90-2.94
Al  0.5000  0.5000  0.0000  4 Ho 2.94, 8 Al 2.99
Al  0.5000  0.5000  0.3356  8 Al 2.89-2.91, 4 Sc 2.94
Al  0.5000  0.5000  0.6644  8 Al 2.89-2.91, 4 Sc 2.94
Al  0.5000  0.0000  0.1734  8 Al 2.89-2.99, 2 Sc 2.90, 2 Ho 2.99
Al  0.5000  0.0000  0.5000  4 Sc 2.91, 8 Al 2.91-2.94
Al  0.5000  0.0000  0.8266  8 Al 2.89-2.99, 2 Sc 2.90, 2 Ho 2.99
Al  0.0000  0.5000  0.1734  8 Al 2.89-2.99, 2 Sc 2.90, 2 Ho 2.99
Al  0.0000  0.5000  0.5000  4 Sc 2.91, 8 Al 2.91-2.94
Al  0.0000  0.5000  0.8266  8 Al 2.89-2.99, 2 Sc 2.90, 2 Ho 2.99

Values from the calculation:
The value obtained for the density of states at the Fermi level is 4.83 states/eV/f.u. As for the volume: 17.87 Å³/atom. As for the polymorph energy (0 for the lowest one): 0.0 kJ per mole of atoms. The calculated formation energy comes out at -0.44 eV/atom. The density is 3.9 g/cm3.

=====

Entry 2:
A plane-wave DFT calculation with PBE was carried out for an optimized crystal structure of Li2In2Pt.

Unit cell a=7.2247 b=7.2247 c=3.4906 alpha=90.00 beta=90.00 gamma=90.00
Last column: nearest neighbours and their distance in Å.
Sites, in units of the cell vectors:
Li  0.1591  0.6591  0.5000  6 In 2.65-2.81
Li  0.6591  0.8409  0.5000  6 In 2.65-2.81
Li  0.8409  0.3409  0.5000  6 In 2.65-2.81
Li  0.3409  0.1591  0.5000  6 In 2.65-2.81
Pt  0.0000  0.0000  0.0000  4 In 2.77
Pt  0.5000  0.5000  0.0000  4 In 2.77
In  0.3541  0.8541  0.0000  6 Li 2.65-2.81, 2 Pt 2.77
In  0.8541  0.6459  0.0000  6 Li 2.65-2.81, 2 Pt 2.77
In  0.6459  0.1459  0.0000  6 Li 2.65-2.81, 2 Pt 2.77
In  0.1459  0.3541  0.0000  6 Li 2.65-2.81, 2 Pt 2.77

Values from the calculation:
The value obtained for the density of states at the Fermi level is 1.50 states/eV/f.u. As for the volume: 18.22 Å³/atom. The calculated formation energy comes out at -0.26 eV/atom. The density is 8.0 g/cm3.